Record 1
Computed, not measured: a relaxed structure of TbPr3 at the GGA-PBE level of DFT.

Summary:
- DOS(E_F) (states/eV/f.u.) = 6.89
- spin magnetization (μB per atom) = 0.00
- final energy (eV per cell) = -37.685
- offset from the most stable computed form (meV/atom) = 17
- V (Å³/cell) = 283

a = 8.7606 Å, b = 3.7004 Å, c = 8.7622 Å
α = 90.00°, β = 94.07°, γ = 90.00°
Closest atoms and distances in Å follow each position.
Atoms (fractional coordinates):
Tb  0.1635  0.2500  0.0801  4 Tb 3.61-3.70, 8 Pr 3.62-3.70
Tb  0.8365  0.7500  0.9199  4 Tb 3.61-3.70, 8 Pr 3.62-3.70
Pr  0.0838  0.2500  0.6691  3 Tb 3.62-3.69, 9 Pr 3.65-3.72
Pr  0.3305  0.7500  0.4132  10 Pr 3.65-3.73, 2 Tb 3.67
Pr  0.4162  0.7500  0.8365  9 Pr 3.63-3.73, 3 Tb 3.68-3.70
Pr  0.5838  0.2500  0.1635  9 Pr 3.63-3.73, 3 Tb 3.68-3.70
Pr  0.6695  0.2500  0.5868  10 Pr 3.65-3.73, 2 Tb 3.67
Pr  0.9162  0.7500  0.3309  3 Tb 3.62-3.69, 9 Pr 3.65-3.72



Record 2
Computed, not measured: a relaxed structure of Gd2YPd at the GGA-PBE level of DFT.

Summary:
- DOS(E_F) (states/eV/f.u.) = 3.87
- spin magnetization (μB per atom) = 3.60
- final energy (eV per cell) = -39.532
- offset from the most stable computed form (meV/atom) = 451
- V (Å³/cell) = 114

a = 11.2768 Å, b = 11.2768 Å, c = 11.2768 Å
α = 17.58°, β = 17.58°, γ = 17.58°
Closest atoms and distances in Å follow each position.
Atoms (fractional coordinates):
Gd  0.0790  0.0790  0.0790  1 Pd 2.63
Gd  0.9210  0.9210  0.9210  1 Pd 2.63
Y  0.5000  0.5000  0.5000  6 Y 3.45, 6 Gd 3.53
Pd  0.0000  0.0000  0.0000  2 Gd 2.63



Record 3
Computed, not measured: a relaxed structure of AcCdRh at the GGA-PBE level of DFT.

Summary:
- DOS(E_F) (states/eV/f.u.) = 1.30
- spin magnetization (μB per atom) = 0.00
- final energy (eV per cell) = -54.735
- offset from the most stable computed form (meV/atom) = 76
- V (Å³/cell) = 318

a = 5.7717 Å, b = 6.5471 Å, c = 8.7958 Å
α = 105.01°, β = 97.45°, γ = 91.19°
Closest atoms and distances in Å follow each position.
Atoms (fractional coordinates):
Ac  0.1796  0.3629  0.1396  2 Rh 2.73-2.83
Ac  0.2627  0.7956  0.5569  4 Rh 2.89-3.12
Ac  0.7373  0.2044  0.4431  4 Rh 2.89-3.12
Ac  0.8204  0.6371  0.8604  2 Rh 2.73-2.83
Cd  0.2855  0.3467  0.7179  2 Rh 2.77-2.80, 1 Cd 3.04
Cd  0.3733  0.8716  0.0908  4 Rh 2.89-3.03, 2 Cd 3.04-3.07
Cd  0.6267  0.1284  0.9092  4 Rh 2.89-3.03, 2 Cd 3.04-3.07
Cd  0.7145  0.6533  0.2821  2 Rh 2.77-2.80, 1 Cd 3.04
Rh  0.1057  0.0573  0.8579  2 Ac 2.73-3.02, 4 Cd 2.77-2.99, 1 Rh 2.79
Rh  0.2324  0.1618  0.3896  1 Rh 2.79, 2 Cd 2.80-3.03, 4 Ac 2.83-3.12
Rh  0.7676  0.8382  0.6104  1 Rh 2.79, 2 Cd 2.80-3.03, 4 Ac 2.83-3.12
Rh  0.8943  0.9427  0.1421  2 Ac 2.73-3.02, 4 Cd 2.77-2.99, 1 Rh 2.79



Record 4
Computed, not measured: a relaxed structure of TlH2F at the GGA-PBE level of DFT.

Summary:
- DOS(E_F) (states/eV/f.u.) = 0.00
- spin magnetization (μB per atom) = 0.00
- final energy (eV per cell) = -12.053
- offset from the most stable computed form (meV/atom) = 0
- V (Å³/cell) = 63

a = 5.0500 Å, b = 5.0500 Å, c = 5.0500 Å
α = 141.03°, β = 127.60°, γ = 67.20°
Closest atoms and distances in Å follow each position.
Atoms (fractional coordinates):
Tl  0.0000  0.0000  0.0000  1 H 1.72
H  0.2047  0.2047  0.0000  1 Tl 1.72
H  0.8801  0.3801  0.5000  2 Tl 1.96
F  0.4188  0.9188  0.5000  2 Tl 2.33, 2 H 2.47



Record 5
Computed, not measured: a relaxed structure of Ac2Nd3Zn2 at the GGA-PBE level of DFT.

Summary:
- DOS(E_F) (states/eV/f.u.) = 8.55
- spin magnetization (μB per atom) = 0.00
- final energy (eV per cell) = -25.759
- offset from the most stable computed form (meV/atom) = 0
- V (Å³/cell) = 229

a = 16.1633 Å, b = 16.1633 Å, c = 3.7651 Å
α = 90.00°, β = 90.00°, γ = 166.51°
Closest atoms and distances in Å follow each position.
Atoms (fractional coordinates):
Ac  0.1954  0.8046  0.0000  4 Zn 3.36, 1 Nd 3.73, 2 Ac 3.77
Ac  0.8046  0.1954  0.0000  4 Zn 3.36, 1 Nd 3.73, 2 Ac 3.77
Nd  0.0791  0.9209  0.0000  4 Zn 3.16
Nd  0.5000  0.5000  0.5000  12 Nd 3.69-3.80
Nd  0.9209  0.0791  0.0000  4 Zn 3.16
Zn  0.3682  0.6318  0.5000  4 Nd 3.16, 4 Ac 3.36
Zn  0.6318  0.3682  0.5000  4 Nd 3.16, 4 Ac 3.36



Record 6
Computed, not measured: a relaxed structure of PRu at the GGA-PBE level of DFT.

Summary:
- DOS(E_F) (states/eV/f.u.) = 1.08
- spin magnetization (μB per atom) = 0.00
- final energy (eV per cell) = -15.342
- offset from the most stable computed form (meV/atom) = 233
- V (Å³/cell) = 30

a = 4.0293 Å, b = 4.0293 Å, c = 4.0293 Å
α = 136.95°, β = 136.95°, γ = 62.52°
Closest atoms and distances in Å follow each position.
Atoms (fractional coordinates):
P  0.0000  0.0000  0.0000  5 Ru 2.33-2.37
Ru  0.3382  0.3382  0.0000  5 P 2.33-2.37



Record 7
Computed, not measured: a relaxed structure of YCdSe2 at the GGA-PBE level of DFT.

Summary:
- DOS(E_F) (states/eV/f.u.) = 3.63
- spin magnetization (μB per atom) = 0.00
- final energy (eV per cell) = -16.242
- V (Å³/cell) = 125
- formation energy from raw total energies (kJ/mol of atoms) = -46

a = 8.7107 Å, b = 8.7107 Å, c = 8.7107 Å
α = 27.56°, β = 27.56°, γ = 27.56°
Closest atoms and distances in Å follow each position.
Atoms (fractional coordinates):
Y  0.0000  0.0000  0.0000  2 Se 2.67
Cd  0.5000  0.5000  0.5000  6 Se 2.84
Se  0.1062  0.1062  0.1062  1 Y 2.67, 3 Cd 2.84
Se  0.8938  0.8938  0.8938  1 Y 2.67, 3 Cd 2.84



Record 8
Computed, not measured: a relaxed structure of Nb6MoW3 at the GGA-PBE level of DFT.

Summary:
- DOS(E_F) (states/eV/f.u.) = 9.68
- spin magnetization (μB per atom) = 0.00
- final energy (eV per cell) = -214.810
- V (Å³/cell) = 365

a = 7.1469 Å, b = 7.1469 Å, c = 7.1469 Å
α = 90.07°, β = 90.07°, γ = 90.07°
Closest atoms and distances in Å follow each position.
Atoms (fractional coordinates):
Nb  0.0118  0.8864  0.3449  1 Mo 2.60, 3 W 2.74-2.89, 1 Nb 2.75
Nb  0.1136  0.6551  0.9882  1 Mo 2.60, 3 W 2.74-2.89, 1 Nb 2.75
Nb  0.1165  0.4370  0.3607  4 Nb 2.75-3.06, 5 W 2.94-3.07, 1 Mo 2.95
Nb  0.3449  0.0118  0.8864  1 Mo 2.60, 3 W 2.74-2.89, 1 Nb 2.75
Nb  0.3607  0.1165  0.4370  4 Nb 2.75-3.06, 5 W 2.94-3.07, 1 Mo 2.95
Nb  0.4370  0.3607  0.1165  4 Nb 2.75-3.06, 5 W 2.94-3.07, 1 Mo 2.95
Nb  0.5630  0.6393  0.8835  4 Nb 2.75-3.06, 5 W 2.94-3.07, 1 Mo 2.95
Nb  0.6393  0.8835  0.5630  4 Nb 2.75-3.06, 5 W 2.94-3.07, 1 Mo 2.95
Nb  0.6551  0.9882  0.1136  1 Mo 2.60, 3 W 2.74-2.89, 1 Nb 2.75
Nb  0.8835  0.5630  0.6393  4 Nb 2.75-3.06, 5 W 2.94-3.07, 1 Mo 2.95
Nb  0.8864  0.3449  0.0118  1 Mo 2.60, 3 W 2.74-2.89, 1 Nb 2.75
Nb  0.9882  0.1136  0.6551  1 Mo 2.60, 3 W 2.74-2.89, 1 Nb 2.75
Mo  0.0000  0.0000  0.0000  6 Nb 2.60
Mo  0.5000  0.5000  0.5000  6 W 2.69, 6 Nb 2.95
W  0.2475  0.3794  0.7513  1 Mo 2.69, 5 Nb 2.74-2.97, 2 W 2.83
W  0.2487  0.7525  0.6206  1 Mo 2.69, 5 Nb 2.74-2.97, 2 W 2.83
W  0.3794  0.7513  0.2475  1 Mo 2.69, 5 Nb 2.74-2.97, 2 W 2.83
W  0.6206  0.2487  0.7525  1 Mo 2.69, 5 Nb 2.74-2.97, 2 W 2.83
W  0.7513  0.2475  0.3794  1 Mo 2.69, 5 Nb 2.74-2.97, 2 W 2.83
W  0.7525  0.6206  0.2487  1 Mo 2.69, 5 Nb 2.74-2.97, 2 W 2.83



Record 9
Computed, not measured: a relaxed structure of Pu2Ga3Cu5 at the GGA-PBE level of DFT.

Summary:
- DOS(E_F) (states/eV/f.u.) = 25.24
- spin magnetization (μB per atom) = 1.12
- final energy (eV per cell) = -119.413
- V (Å³/cell) = 346

a = 8.2692 Å, b = 8.2692 Å, c = 8.2692 Å
α = 104.11°, β = 90.30°, γ = 138.67°
Closest atoms and distances in Å follow each position.
Atoms (fractional coordinates):
Pu  0.1269  0.2362  0.3631  10 Cu 3.07-3.28, 6 Ga 3.15-3.39
Pu  0.3731  0.7362  0.1093  10 Cu 3.07-3.28, 6 Ga 3.15-3.39
Pu  0.6269  0.2638  0.8907  10 Cu 3.07-3.28, 6 Ga 3.15-3.39
Pu  0.8731  0.7638  0.6369  10 Cu 3.07-3.28, 6 Ga 3.15-3.39
Ga  0.1348  0.8826  0.0174  5 Cu 2.41-2.46
Ga  0.2500  0.7500  0.5000  6 Cu 2.49-2.68
Ga  0.3652  0.3826  0.7478  5 Cu 2.41-2.46
Ga  0.6348  0.6174  0.2522  5 Cu 2.41-2.46
Ga  0.7500  0.2500  0.5000  6 Cu 2.49-2.68
Ga  0.8652  0.1174  0.9826  5 Cu 2.41-2.46
Cu  0.0204  0.7500  0.2704  3 Ga 2.46-2.68, 2 Cu 2.47
Cu  0.1161  0.6471  0.7631  3 Ga 2.41-2.49, 2 Cu 2.47
Cu  0.2500  0.2500  0.0000  4 Ga 2.45
Cu  0.3839  0.1471  0.5310  3 Ga 2.41-2.49, 2 Cu 2.47
Cu  0.4796  0.7500  0.7296  3 Ga 2.46-2.68, 2 Cu 2.47
Cu  0.5204  0.2500  0.2704  3 Ga 2.46-2.68, 2 Cu 2.47
Cu  0.6161  0.8529  0.4690  3 Ga 2.41-2.49, 2 Cu 2.47
Cu  0.7500  0.7500  0.0000  4 Ga 2.45
Cu  0.8839  0.3529  0.2369  3 Ga 2.41-2.49, 2 Cu 2.47
Cu  0.9796  0.2500  0.7296  3 Ga 2.46-2.68, 2 Cu 2.47



Record 10
Computed, not measured: a relaxed structure of TlC2Se at the GGA-PBE level of DFT.

Summary:
- DOS(E_F) (states/eV/f.u.) = 2.09
- spin magnetization (μB per atom) = 0.00
- final energy (eV per cell) = -13.799
- offset from the most stable computed form (meV/atom) = 834
- V (Å³/cell) = 60
- formation energy from raw total energies (kJ/mol of atoms) = 253

a = 4.3974 Å, b = 4.3974 Å, c = 4.3974 Å
α = 60.00°, β = 60.00°, γ = 60.00°
Closest atoms and distances in Å follow each position.
Atoms (fractional coordinates):
Tl  0.0000  0.0000  0.0000  8 C 2.69
C  0.2500  0.2500  0.2500  4 Tl 2.69, 4 Se 2.69
C  0.7500  0.7500  0.7500  4 Tl 2.69, 4 Se 2.69
Se  0.5000  0.5000  0.5000  8 C 2.69



Record 11
Computed, not measured: a relaxed structure of AcSnRhAu at the GGA-PBE level of DFT.

Summary:
- DOS(E_F) (states/eV/f.u.) = 3.16
- spin magnetization (μB per atom) = 0.00
- final energy (eV per cell) = -20.588
- V (Å³/cell) = 95

a = 5.1149 Å, b = 5.1149 Å, c = 5.1149 Å
α = 60.00°, β = 60.00°, γ = 60.00°
Closest atoms and distances in Å follow each position.
Atoms (fractional coordinates):
Ac  0.0000  0.0000  0.0000  4 Au 3.13, 4 Rh 3.13
Sn  0.5000  0.5000  0.5000  4 Au 3.13, 4 Rh 3.13
Rh  0.2500  0.2500  0.2500  4 Sn 3.13, 4 Ac 3.13
Au  0.7500  0.7500  0.7500  4 Ac 3.13, 4 Sn 3.13



Record 12
Computed, not measured: a relaxed structure of Lu2AlHg at the GGA-PBE level of DFT.

Summary:
- DOS(E_F) (states/eV/f.u.) = 3.38
- spin magnetization (μB per atom) = 0.00
- final energy (eV per cell) = -14.588
- offset from the most stable computed form (meV/atom) = 33
- V (Å³/cell) = 94

a = 5.0988 Å, b = 5.0988 Å, c = 5.0988 Å
α = 60.00°, β = 60.00°, γ = 60.00°
Closest atoms and distances in Å follow each position.
Atoms (fractional coordinates):
Lu  0.2500  0.2500  0.2500  4 Hg 3.12, 4 Al 3.12
Lu  0.7500  0.7500  0.7500  4 Hg 3.12, 4 Al 3.12
Al  0.0000  0.0000  0.0000  8 Lu 3.12
Hg  0.5000  0.5000  0.5000  8 Lu 3.12



Q: Which value of spin magnetization does entry 9 give?
A: 1.12 μB per atom



Q: Which of these has the highest V?
A: Nb6MoW3



Copy entry 12 word for word.
Computed, not measured: a relaxed structure of Lu2AlHg at the GGA-PBE level of DFT.

Summary:
- DOS(E_F) (states/eV/f.u.) = 3.38
- spin magnetization (μB per atom) = 0.00
- final energy (eV per cell) = -14.588
- offset from the most stable computed form (meV/atom) = 33
- V (Å³/cell) = 94

a = 5.0988 Å, b = 5.0988 Å, c = 5.0988 Å
α = 60.00°, β = 60.00°, γ = 60.00°
Closest atoms and distances in Å follow each position.
Atoms (fractional coordinates):
Lu  0.2500  0.2500  0.2500  4 Hg 3.12, 4 Al 3.12
Lu  0.7500  0.7500  0.7500  4 Hg 3.12, 4 Al 3.12
Al  0.0000  0.0000  0.0000  8 Lu 3.12
Hg  0.5000  0.5000  0.5000  8 Lu 3.12